(1)
{"formula": "Nb2PdS4", "functional": "PBE", "state": "optimized geometry", "lattice_angstrom": [[-3.692, -2.829, 5.578], [2.040, -6.666, -2.039], [4.996, 5.120, 1.179]], "species": ["Nb", "S", "Pd", "Nb", "S", "Pd", "S", "S", "S", "S", "Nb", "S", "S", "Nb"], "fractional_positions": [[0.125, 0.375, 0.750], [0.870, 0.608, 0.740], [0.250, 0.750, 0.500], [0.625, 0.875, 0.250], [0.868, 0.130, 0.260], [0.000, 0.000, 0.000], [0.380, 0.618, 0.760], [0.392, 0.130, 0.261], [0.869, 0.132, 0.739], [0.382, 0.619, 0.239], [0.625, 0.375, 0.750], [0.380, 0.142, 0.761], [0.858, 0.620, 0.240], [0.625, 0.375, 0.250]], "space_group": "I4_1/amd, No. 141", "e_above_lowest_polymorph_mev_per_atom": 0, "formation_energy_uncorrected_ev_per_atom": -0.79}

=====

(2)
{"formula": "Pr4Sm2HoEr", "functional": "PBE", "state": "optimized geometry", "lattice_angstrom": [[-1.099, 5.063, -0.374], [-1.711, -0.011, 4.873], [7.653, 2.265, 8.177]], "species": ["Er", "Ho", "Pr", "Sm", "Pr", "Sm", "Pr", "Pr"], "fractional_positions": [[0.000, 0.500, 0.500], [0.500, 0.500, 0.000], [0.500, 0.250, 0.750], [0.000, 0.000, 0.000], [0.000, 0.249, 0.251], [0.500, 0.000, 0.500], [0.000, 0.751, 0.749], [0.500, 0.750, 0.250]], "space_group": "P2/m, No. 10", "formation_enthalpy_0k_ev_per_atom": 0.015}

=====

(3)
{"formula": "Tl2NCl", "functional": "PBE", "state": "optimized geometry", "lattice_angstrom": [[-1.771, 2.032, 4.484], [-4.725, 2.239, 0.172], [-3.911, -2.340, 2.568]], "species": ["Cl", "Tl", "Tl", "N"], "fractional_positions": [[0.500, 0.500, 0.500], [0.750, 0.750, 0.750], [0.250, 0.250, 0.250], [0.000, 0.000, 0.000]], "space_group": "Fm-3m, No. 225", "e_above_lowest_polymorph_mev_per_atom": 388, "formation_energy_uncorrected_ev_per_atom": 0.61}

=====

(4)
{"formula": "CsNd2CuTe4", "functional": "PBE", "state": "optimized geometry", "lattice_angstrom": [[-2.280, 2.732, 2.796], [3.957, -5.435, 4.875], [12.451, 9.686, 0.692]], "species": ["Te", "Nd", "Te", "Te", "Cs", "Nd", "Te", "Cu", "Nd", "Cs", "Cu", "Te", "Te", "Te", "Te", "Nd"], "fractional_positions": [[0.425, 0.850, 0.750], [0.634, 0.269, 0.062], [0.575, 0.150, 0.250], [0.000, 0.000, 0.500], [0.893, 0.786, 0.250], [0.366, 0.731, 0.562], [0.261, 0.523, 0.113], [0.164, 0.328, 0.250], [0.634, 0.269, 0.438], [0.107, 0.214, 0.750], [0.836, 0.672, 0.750], [0.739, 0.477, 0.887], [0.739, 0.477, 0.613], [0.000, 0.000, 0.000], [0.261, 0.523, 0.387], [0.366, 0.731, 0.938]], "space_group": "Cmcm, No. 63", "formation_energy_uncorrected_ev_per_atom": -1.17}

=====

(5)
{"formula": "LiTe2", "functional": "PBE", "state": "optimized geometry", "lattice_angstrom": [[-3.092, -5.943, -1.413], [-0.178, -6.399, -2.429], [1.498, -5.620, 6.820]], "species": ["Li", "Li", "Te", "Te", "Te", "Te"], "fractional_positions": [[0.092, 0.092, 0.152], [0.908, 0.908, 0.848], [0.313, 0.313, 0.136], [0.435, 0.435, 0.379], [0.565, 0.565, 0.621], [0.687, 0.687, 0.864]], "space_group": "C2/m, No. 12", "e_above_lowest_polymorph_mev_per_atom": 24, "formation_energy_uncorrected_ev_per_atom": -0.44}

=====

(6)
{"formula": "CsBa2H8Ru", "functional": "PBE", "state": "optimized geometry", "lattice_angstrom": [[-0.096, -0.045, 5.448], [-4.340, -1.712, -2.816], [2.827, -7.151, -0.009]], "species": ["H", "H", "H", "H", "Ru", "H", "Cs", "H", "Ba", "Ba", "H", "H"], "fractional_positions": [[0.155, 0.845, 0.119], [0.691, 0.845, 0.119], [0.333, 0.667, 0.466], [0.845, 0.155, 0.881], [0.000, 0.000, 0.000], [0.309, 0.155, 0.881], [0.000, 0.000, 0.500], [0.845, 0.691, 0.881], [0.667, 0.333, 0.188], [0.333, 0.667, 0.812], [0.667, 0.333, 0.534], [0.155, 0.309, 0.119]], "space_group": "P-3m1, No. 164", "e_tot_ev_per_cell": -44.01}

=====

(7)
{"formula": "CuH12Br4N2O2", "functional": "PBE", "state": "optimized geometry", "lattice_angstrom": [[8.095, 0.000, 0.000], [0.000, 8.095, 0.000], [0.000, 0.000, 8.307]], "species": ["H", "H", "H", "H", "H", "Br", "H", "H", "Br", "Br", "Cu", "H", "N", "H", "H", "O", "Br", "H", "H", "H", "H", "H", "H", "O", "Cu", "H", "H", "Br", "H", "Br", "H", "Br", "H", "O", "N", "H", "N", "H", "H", "O", "Br", "N"], "fractional_positions": [[0.930, 0.930, 0.694], [0.933, 0.581, 0.322], [0.433, 0.919, 0.822], [0.930, 0.930, 0.306], [0.919, 0.433, 0.178], [0.212, 0.212, 0.000], [0.430, 0.570, 0.806], [0.419, 0.067, 0.322], [0.786, 0.786, 0.500], [0.714, 0.286, 0.000], [0.000, 0.000, 0.000], [0.567, 0.081, 0.178], [0.500, 0.000, 0.250], [0.933, 0.581, 0.678], [0.419, 0.067, 0.678], [0.500, 0.500, 0.737], [0.288, 0.712, 0.500], [0.070, 0.070, 0.694], [0.067, 0.419, 0.678], [0.081, 0.567, 0.822], [0.919, 0.433, 0.822], [0.430, 0.570, 0.194], [0.433, 0.919, 0.178], [0.000, 0.000, 0.237], [0.500, 0.500, 0.500], [0.081, 0.567, 0.178], [0.570, 0.430, 0.194], [0.214, 0.214, 0.500], [0.067, 0.419, 0.322], [0.286, 0.714, 0.000], [0.570, 0.430, 0.806], [0.712, 0.288, 0.500], [0.070, 0.070, 0.306], [0.000, 0.000, 0.763], [0.500, 0.000, 0.750], [0.581, 0.933, 0.678], [0.000, 0.500, 0.250], [0.567, 0.081, 0.822], [0.581, 0.933, 0.322], [0.500, 0.500, 0.263], [0.788, 0.788, 0.000], [0.000, 0.500, 0.750]], "space_group": "P4_2/mnm, No. 136", "e_tot_ev_per_cell": -182.21}

=====

(8)
{"formula": "LiPt3Rh", "functional": "PBE", "state": "optimized geometry", "lattice_angstrom": [[2.674, -0.225, 0.514], [-0.602, 8.517, -0.396], [1.339, -1.617, 6.802]], "species": ["Pt", "Pt", "Pt", "Rh", "Pt", "Li", "Pt", "Rh", "Pt", "Li"], "fractional_positions": [[0.364, 0.178, 0.727], [0.954, 0.581, 0.338], [0.956, 0.249, 0.169], [0.761, 0.775, 0.128], [0.152, 0.040, 0.369], [0.355, 0.842, 0.567], [0.560, 0.968, 0.927], [0.754, 0.443, 0.968], [0.561, 0.637, 0.758], [0.160, 0.375, 0.529]], "space_group": "P-1, No. 2", "e_above_lowest_polymorph_mev_per_atom": 0, "formation_enthalpy_0k_ev_per_atom": -0.217}